Here is a relaxed structure of Zr3CdIr from Alexandria. Energies are from GGA-PBE.

The structure belongs to space group Pm-3m (No. 221); the cell edges are 5.083, 5.083 and 5.083 Å and the angles 90.00°, 90.00° and 90.00°. The asymmetric unit holds Zr at (0.000, 0.000, 0.500), Cd at (0.500, 0.500, 0.500) and Ir at (0.000, 0.000, 0.000).

For the size of the total moment, the calculation gives 0.00 μB per formula unit. The calculation puts the offset from the most stable computed form at 0 meV per atom. The calculation puts the formation enthalpy at 0 K at 12.9 kJ per mole of atoms. Its total DFT energy (no corrections) is -34.75 eV per cell. The density of states at the Fermi level comes out at 9.03 states/eV per cell.

Here is a relaxed structure of ZrCd2Ir from Alexandria. Energies are from GGA-PBE.

The structure belongs to space group Cmmm (No. 65); the cell edges are 5.506, 9.505 and 2.954 Å and the angles 90.00°, 90.00° and 90.00°. The asymmetric unit holds Zr at (0.000, 0.000, 0.000), Cd at (0.250, 0.250, 0.500) and Ir at (0.000, 0.500, 0.000).

For the size of the total moment, the calculation gives 0.00 μB per formula unit. The calculation puts the formation enthalpy at 0 K at 4.5 kJ per mole of atoms. Its total DFT energy (no corrections) is -38.11 eV per cell. The density of states at the Fermi level comes out at 5.20 states/eV per cell.

Here is a relaxed structure of ZrCd2Ir from Alexandria. Energies are from GGA-PBE.

The structure belongs to space group R-3m (No. 166, hexagonal axes); the cell edges are 3.0076, 3.0076 and 29.6357 Å and the angles 90.00°, 90.00° and 120.00°. The asymmetric unit holds Zr at (0.0000, 0.0000, 0.0000), Cd at (0.0000, 0.0000, 0.2430) and Ir at (0.0000, 0.0000, 0.5000).

For the size of the total moment, the calculation gives 0.24 μB per formula unit. The calculation puts the formation enthalpy at 0 K at 11.6 kJ per mole of atoms. Its total DFT energy (no corrections) is -56.28 eV per cell. The density of states at the Fermi level comes out at 10.24 states/eV per cell.

Here is a relaxed structure of ZrCd2Ir from Alexandria. Energies are from GGA-PBE.

The structure belongs to space group I-42d (No. 122); the cell edges are 8.115, 8.115 and 5.279 Å and the angles 90.00°, 90.00° and 90.00°. The asymmetric unit holds Zr at (0.000, 0.000, 0.000), Cd at (0.208, 0.250, 0.625) and Ir at (0.000, 0.000, 0.500).

For the size of the total moment, the calculation gives 0.00 μB per formula unit. The calculation puts the formation enthalpy at 0 K at 22.7 kJ per mole of atoms. Its total DFT energy (no corrections) is -73.19 eV per cell. The density of states at the Fermi level comes out at 13.38 states/eV per cell.